A plane-wave DFT calculation with PBE was carried out for a geometry-optimized BaReMo4 structure.

As for the formation energy: 1.014 eV/atom. Its crystal system is cubic. The total energy is -206.443 eV for the cell shown. The density of states at the Fermi level is 1.03 states/eV per atom.

The structure belongs to space group F-43m (No. 216); the cell edges are 7.671, 7.671 and 7.671 Å and the angles 90.00°, 90.00° and 90.00°. The asymmetric unit holds Ba at (0.000, 0.000, 0.000), Re at (0.250, 0.250, 0.250) and Mo at (0.125, 0.125, 0.625).


A plane-wave DFT calculation with PBE was carried out for a geometry-optimized BaReMo structure.

As for the formation energy: 0.851 eV/atom. Its crystal system is trigonal. The total energy is -22.649 eV for the cell shown. The density of states at the Fermi level is 1.07 states/eV per atom.

The structure belongs to space group P3m1 (No. 156); the cell edges are 4.1818, 4.1818 and 5.6001 Å and the angles 90.00°, 90.00° and 120.00°. The asymmetric unit holds Ba at (0.0000, 0.0000, 0.0000), Re at (0.3333, 0.6667, 0.5125) and Mo at (0.6667, 0.3333, 0.4905).